--- P ---
Tb2Ho3Th: optimized geometry, PBE.

Cell: 9.3677 13.0851 6.4016 Å, 90.00 90.00 90.00°
Closest atoms and distances in Å follow each position.
Space group Cmc2_1 (No. 36)
One atom of each set of equivalent atoms:
Tb1 0.1823 0.1846 0.0000 x8  2 Th 3.20-3.25, 3 Ho 3.35-3.44, 1 Tb 3.42
Ho1 0.0000 0.4138 0.2184 x4  3 Th 3.27-3.49, 2 Ho 3.35
Ho2 0.1824 0.0712 0.4813 x8  4 Ho 3.35-3.70, 4 Tb 3.35-3.64, 1 Th 3.71
Th1 0.0000 0.3299 0.7000 x4  4 Tb 3.20-3.25, 3 Ho 3.27-3.49

As for the crystal system: orthorhombic.



--- Q ---
Tb2Ho3Th: optimized geometry, PBE.

Cell: 12.2842 5.8217 11.1859 Å, 90.00 107.98 90.00°
Closest atoms and distances in Å follow each position.
Space group C2/m (No. 12)
One atom of each set of equivalent atoms:
Tb1 0.1279 0.0000 0.1107 x4  2 Tb 3.35-3.48, 5 Ho 3.36-3.54, 2 Th 3.47-3.58
Tb2 0.1304 0.5000 0.6258 x4  6 Ho 3.38-3.76, 2 Th 3.46, 2 Tb 3.48-3.55
Ho1 0.1220 0.5000 0.2887 x4  5 Ho 3.40-3.69, 4 Tb 3.52-3.74, 1 Th 3.63
Ho2 0.1245 0.5000 0.9599 x4  4 Tb 3.36-3.76, 3 Ho 3.42-3.69, 3 Th 3.48-3.60
Ho3 0.1283 0.0000 0.4710 x4  3 Tb 3.38-3.46, 4 Ho 3.40-3.54, 2 Th 3.41-3.59
Th1 0.1108 0.0000 0.7857 x4  6 Ho 3.41-3.63, 4 Tb 3.46-3.58

As for the crystal system: monoclinic.



Of them, the most stable is Q and the least stable is P.



--- P ---
Tb2HoTi: optimized geometry, PBE.

Cell: 3.4111 3.4111 9.4607 Å, 90.00 90.00 90.00°
Closest atoms and distances in Å follow each position.
Space group P4/mmm (No. 123)
One atom of each set of equivalent atoms:
Tb1 0.0000 0.0000 0.2212 x2  4 Ti 3.19, 4 Tb 3.41, 4 Ho 3.57
Ho1 0.5000 0.5000 0.5000 x1  4 Ho 3.41, 8 Tb 3.57
Ti1 0.5000 0.5000 0.0000 x1  8 Tb 3.19, 4 Ti 3.41

As for the crystal system: tetragonal.



--- Q ---
Tb2HoTi: optimized geometry, PBE.

Cell: 3.3557 3.3557 35.1146 Å, 90.00 90.00 120.00°
Closest atoms and distances in Å follow each position.
Space group R-3m (No. 166, hexagonal axes)
One atom of each set of equivalent atoms:
Tb1 0.0000 0.0000 0.0840 x6  1 Ti 2.95
Ho1 0.0000 0.0000 0.5000 x3  6 Ho 3.36, 6 Tb 3.49
Ti1 0.0000 0.0000 0.0000 x3  2 Tb 2.95

As for the crystal system: trigonal.



Of them, the most stable is P and the least stable is Q.